VASP calculation (PBE-GGA) on crystalline CsMgBr3 at its relaxed geometry.

abc: 7.8227 7.8227 6.6122
angles: 90.00 90.00 120.00
Space group P6_3/mmc (No. 194)
Unique sites:
Cs1 0.3333 0.6667 0.2500 x2
Mg1 0.0000 0.0000 0.0000 x2
Br1 0.1573 0.3146 0.7500 x6

Output
- DOS at the Fermi energy (states/eV/f.u.) = 0.00
- formation energy without anion corrections (eV per atom) = -1.6494

---

VASP calculation (PBE-GGA) on crystalline CsCrI2N at its relaxed geometry.

abc: 7.155 7.155 4.891
angles: 90.00 90.00 90.00
Space group P4/mmm (No. 123)
Unique sites:
Cs1 0.000 0.000 0.000 x1
Cr1 0.500 0.500 0.500 x1
I1 0.000 0.500 0.000 x2
N1 0.000 0.000 0.500 x1

Output
- DOS at the Fermi energy (states/eV/f.u.) = 9.79
- polymorph energy (0 for the lowest one) (meV/atom) = 1628
- formation energy without anion corrections (eV per atom) = 1.3008

---

VASP calculation (PBE-GGA) on crystalline Cu2Au2Se at its relaxed geometry.

abc: 7.649 7.649 2.878
angles: 90.00 90.00 90.00
Space group P4/mbm (No. 127)
Unique sites:
Cu1 0.156 0.344 0.000 x4
Au1 0.139 0.639 0.500 x4
Se1 0.000 0.000 0.500 x2

Output
- DOS at the Fermi energy (states/eV/f.u.) = 1.76
- polymorph energy (0 for the lowest one) (meV/atom) = 39
- formation energy without anion corrections (eV per atom) = 0.1235

---

VASP calculation (PBE-GGA) on crystalline Ba4Sb2I5 at its relaxed geometry.

abc: 21.143 5.448 11.627
angles: 90.00 109.10 90.00
Space group C2/m (No. 12)
Unique sites:
Ba1 0.014 0.000 0.293 x4
Ba2 0.162 0.500 0.092 x4
Sb1 0.001 0.500 0.883 x4
I1 0.000 0.500 0.500 x2
I2 0.164 0.000 0.882 x4
I3 0.179 0.000 0.294 x4

Output
- DOS at the Fermi energy (states/eV/f.u.) = 4.80
- polymorph energy (0 for the lowest one) (meV/atom) = 44
- formation energy without anion corrections (eV per atom) = -1.3700

---

Among the records above, which one has the highest formation energy without anion corrections?
CsCrI2N

---

Which of these has the highest DOS at the Fermi energy?
CsCrI2N